# 1
VASP calculation (PBE-GGA) on Cs2Dy2ZrS6 after structural relaxation.

Cell and atoms, written as POSCAR:
```
Cs2Dy2ZrS6
1.0
-6.5579 -1.9000 -0.1891
3.5864 -0.7717 5.7615
-1.2456 8.4709 0.5175
Cs Dy Zr S
2 2 1 6
direct
0.8312 0.1688 0.0000
0.1688 0.8312 0.0000
0.3333 0.6667 0.5000
0.6667 0.3333 0.5000
0.0000 0.0000 0.5000
0.7435 0.7435 0.6758
0.0607 0.3783 0.6767
0.2565 0.2565 0.3242
0.3783 0.0607 0.6767
0.9393 0.6217 0.3233
0.6217 0.9393 0.3233
```

Values from the calculation:
Raw formation energy   -1.794 eV/atom
Raw total energy   -5.81 eV per atom

# 2
VASP calculation (PBE-GGA) on CsDyZrS4 after structural relaxation.

Cell and atoms, written as POSCAR:
```
CsDyZrS4
1.0
-4.0612 1.1483 5.5549
-3.6190 -5.8845 -1.4294
7.7871 -5.3868 2.4607
Cs Dy Zr S
2 2 2 8
direct
0.7214 0.7500 0.9494
0.2786 0.2500 0.0506
0.8059 0.7500 0.4549
0.1941 0.2500 0.5451
0.2558 0.7500 0.3487
0.7442 0.2500 0.6513
0.0012 0.4996 0.6801
0.9988 0.9996 0.3199
0.9988 0.5004 0.3199
0.0012 0.0004 0.6801
0.4592 0.7500 0.1955
0.5408 0.2500 0.8045
0.5074 0.7500 0.5845
0.4926 0.2500 0.4155
```

Values from the calculation:
Raw formation energy   -1.636 eV/atom
Raw total energy   -5.99 eV per atom

Number 1: total magnetic moment 0.00 Bohr magnetons per cell, calculated density 4.34 g cm⁻³, density of states at the Fermi level 0.00 states/eV per atom. Number 2: total magnetic moment 0.00 Bohr magnetons per cell, calculated density 3.80 g cm⁻³, density of states at the Fermi level 0.00 states/eV per atom.